[1]
# PBE Ta5Mo, optimized geometry
data_Ta5Mo
_space_group_name_H-M_alt 'P -1'
_space_group_IT_number 2
_space_group_name_Hall '-P 1'
_cell_length_a 2.871
_cell_length_b 5.423
_cell_length_c 7.154
_cell_angle_alpha 78.12
_cell_angle_beta 82.33
_cell_angle_gamma 79.87
loop_
_atom_site_label
_atom_site_type_symbol
_atom_site_fract_x
_atom_site_fract_y
_atom_site_fract_z
Ta1 Ta 0.000 0.000 0.000
Ta2 Ta 0.180 0.170 0.330
Ta3 Ta 0.344 0.335 0.671
Mo1 Mo 0.500 0.500 0.000
# **Total moment**: 0.000 μB/f.u.
# **Energy relative to the elements**: -0.04 eV/atom
# **Total energy**: -11.725 eV per atom
# **E above lowest polymorph**: 30 meV/atom



[2]
# PBE VNi7Sb2As2, optimized geometry
data_VNi7Sb2As2
_space_group_name_H-M_alt 'I 4/m m m'
_space_group_IT_number 139
_space_group_name_Hall '-I 4 2'
_cell_length_a 3.611
_cell_length_b 3.611
_cell_length_c 28.547
_cell_angle_alpha 90.00
_cell_angle_beta 90.00
_cell_angle_gamma 90.00
loop_
_atom_site_label
_atom_site_type_symbol
_atom_site_fract_x
_atom_site_fract_y
_atom_site_fract_z
V1 V 0.000 0.000 0.000
Ni1 Ni 0.000 0.000 0.304
Ni2 Ni 0.000 0.000 0.500
Ni3 Ni 0.000 0.500 0.061
Sb1 Sb 0.000 0.000 0.212
As1 As 0.000 0.000 0.385
# **Total moment**: 0.568 μB/f.u.
# **ΔE_f (raw)**: -200 meV/atom
# **Total energy**: -5.794 eV per atom



[3]
# PBE CaGa9Pt2, optimized geometry
data_CaGa9Pt2
_space_group_name_H-M_alt 'I 41/a m d'
_space_group_IT_number 141
_cell_length_a 11.481
_cell_length_b 11.481
_cell_length_c 6.680
_cell_angle_alpha 90.00
_cell_angle_beta 90.00
_cell_angle_gamma 90.00
loop_
_space_group_symop_operation_xyz
'x,y,z'
'-x,-y,-z'
'-y+1/4,x+3/4,z+1/4'
'y+1/4,-x+3/4,-z+1/4'
'-x+1/2,-y,z+1/2'
'x+1/2,y,-z+1/2'
'y+1/4,-x+1/4,z+3/4'
'-y+1/4,x+1/4,-z+3/4'
'x,-y,-z'
'-x,y,z'
'-y+1/4,-x+1/4,-z+3/4'
'y+1/4,x+1/4,z+3/4'
'-x+1/2,y,-z+1/2'
'x+1/2,-y,z+1/2'
'y+1/4,x+3/4,-z+1/4'
'-y+1/4,-x+3/4,z+1/4'
'x+1/2,y+1/2,z+1/2'
'-x+1/2,-y+1/2,-z+1/2'
'-y+3/4,x+1/4,z+3/4'
'y+3/4,-x+1/4,-z+3/4'
'-x,-y+1/2,z'
'x,y+1/2,-z'
'y+3/4,-x+3/4,z+1/4'
'-y+3/4,x+3/4,-z+1/4'
'x+1/2,-y+1/2,-z+1/2'
'-x+1/2,y+1/2,z+1/2'
'-y+3/4,-x+3/4,-z+1/4'
'y+3/4,x+3/4,z+1/4'
'-x,y+1/2,-z'
'x,-y+1/2,z'
'y+3/4,x+1/4,-z+3/4'
'-y+3/4,-x+1/4,z+3/4'
loop_
_atom_site_label
_atom_site_type_symbol
_atom_site_fract_x
_atom_site_fract_y
_atom_site_fract_z
Ca1 Ca 0.000 0.250 0.375
Ga1 Ga 0.000 0.250 0.875
Ga2 Ga 0.119 0.064 0.667
Pt1 Pt 0.000 0.000 0.000
# **Total moment**: 0.000 μB/f.u.
# **Energy relative to the elements**: -0.35 eV/atom
# **Total energy**: -3.791 eV per atom



[4]
# PBE KHg4Pb2, optimized geometry
data_KHg4Pb2
_space_group_name_H-M_alt 'C m m m'
_space_group_IT_number 65
_space_group_name_Hall '-C 2 2'
_cell_length_a 5.271
_cell_length_b 16.330
_cell_length_c 5.252
_cell_angle_alpha 90.00
_cell_angle_beta 90.00
_cell_angle_gamma 90.00
loop_
_atom_site_label
_atom_site_type_symbol
_atom_site_fract_x
_atom_site_fract_y
_atom_site_fract_z
K1 K 0.000 0.000 0.000
Hg1 Hg 0.000 0.188 0.500
Hg2 Hg 0.000 0.303 0.000
Pb1 Pb 0.000 0.403 0.500
# **Total moment**: 0.000 μB/f.u.
# **Energy relative to the elements**: -0.04 eV/atom
# **Total energy**: -1.426 eV per atom
# **E above lowest polymorph**: 64 meV/atom



[5]
# PBE SrCuPCl2, optimized geometry
data_SrCuPCl2
_space_group_name_H-M_alt 'P 4/m m m'
_space_group_IT_number 123
_space_group_name_Hall '-P 4 2'
_cell_length_a 5.507
_cell_length_b 5.507
_cell_length_c 6.197
_cell_angle_alpha 90.00
_cell_angle_beta 90.00
_cell_angle_gamma 90.00
loop_
_atom_site_label
_atom_site_type_symbol
_atom_site_fract_x
_atom_site_fract_y
_atom_site_fract_z
Sr1 Sr 0.000 0.000 0.000
Cu1 Cu 0.500 0.500 0.500
P1 P 0.000 0.000 0.500
Cl1 Cl 0.000 0.500 0.000
# **Total moment**: 2.001 μB/f.u.
# **ΔE_f (raw)**: -82 meV/atom
# **Total energy**: -3.059 eV per atom
# **E above lowest polymorph**: 645 meV/atom



[6]
# PBE HOsO2, optimized geometry
data_HOsO2
_space_group_name_H-M_alt 'R -3 m'
_space_group_IT_number 166
_space_group_name_Hall '-R 3 2"'
_cell_length_a 2.7626
_cell_length_b 2.7626
_cell_length_c 17.0133
_cell_angle_alpha 90.00
_cell_angle_beta 90.00
_cell_angle_gamma 120.00
loop_
_atom_site_label
_atom_site_type_symbol
_atom_site_fract_x
_atom_site_fract_y
_atom_site_fract_z
H1 H 0.0000 0.0000 0.0000
Os1 Os 0.0000 0.0000 0.5000
O1 O 0.0000 0.0000 0.3940
# **Total moment**: 0.000 μB/f.u.
# **Total energy**: -6.040 eV per atom



[7]
# PBE CaZr2Te, optimized geometry
data_CaZr2Te
_space_group_name_H-M_alt 'P m m m'
_space_group_IT_number 47
_space_group_name_Hall '-P 2 2'
_cell_length_a 4.339
_cell_length_b 4.371
_cell_length_c 5.161
_cell_angle_alpha 90.00
_cell_angle_beta 90.00
_cell_angle_gamma 90.00
loop_
_atom_site_label
_atom_site_type_symbol
_atom_site_fract_x
_atom_site_fract_y
_atom_site_fract_z
Ca1 Ca 0.000 0.000 0.000
Zr1 Zr 0.000 0.500 0.500
Zr2 Zr 0.500 0.000 0.500
Te1 Te 0.500 0.500 0.000
# **Total moment**: 0.000 μB/f.u.
# **ΔE_f (raw)**: -169 meV/atom
# **Total energy**: -5.729 eV per atom



[8]
# PBE SmTc2GeN, optimized geometry
data_SmTc2GeN
_space_group_name_H-M_alt 'C m c m'
_space_group_IT_number 63
_space_group_name_Hall '-C 2c 2'
_cell_length_a 3.877
_cell_length_b 11.187
_cell_length_c 7.491
_cell_angle_alpha 90.00
_cell_angle_beta 90.00
_cell_angle_gamma 90.00
loop_
_atom_site_label
_atom_site_type_symbol
_atom_site_fract_x
_atom_site_fract_y
_atom_site_fract_z
Sm1 Sm 0.000 0.044 0.250
Tc1 Tc 0.000 0.334 0.058
Ge1 Ge 0.000 0.234 0.750
N1 N 0.000 0.500 0.000
# **Total moment**: 0.000 μB/f.u.
# **ΔE_f (raw)**: -595 meV/atom
# **Total energy**: -8.274 eV per atom